Record 1
# PBE RbVSe2N, optimized geometry
# - DFT total energy: -0.2233 Ry/atom
# - Excess energy over the best structure of this formula in the dataset: 2296.3 meV per atom
# - Mass density: 3.72 g cm⁻³
# - Symmetry: P4/mmm, No. 123
data_RbVSe2N
_space_group_name_H-M_alt 'P 1'
_space_group_IT_number 1
_cell_length_a 5.699
_cell_length_b 5.699
_cell_length_c 4.234
_cell_angle_alpha 90.00
_cell_angle_beta 90.00
_cell_angle_gamma 90.00
loop_
_space_group_symop_operation_xyz
'x,y,z'
loop_
_atom_site_label
_atom_site_fract_x
_atom_site_fract_y
_atom_site_fract_z
_atom_site_occupancy
Rb1 0.000 0.000 0.000 1
V1 0.500 0.500 0.500 1
Se1 0.000 0.500 0.000 1
Se2 0.500 0.000 0.000 1
N1 0.000 0.000 0.500 1

=====

Record 2
# PBE Mg2TlCl5, optimized geometry
# - DFT total energy: -0.2535 Ry/atom
# - Mass density: 3.54 g cm⁻³
# - Symmetry: Cmcm, No. 63
data_Mg2TlCl5
_space_group_name_H-M_alt 'P 1'
_space_group_IT_number 1
_cell_length_a 6.536
_cell_length_b 6.536
_cell_length_c 12.811
_cell_angle_alpha 90.00
_cell_angle_beta 90.00
_cell_angle_gamma 132.42
loop_
_space_group_symop_operation_xyz
'x,y,z'
loop_
_atom_site_label
_atom_site_fract_x
_atom_site_fract_y
_atom_site_fract_z
_atom_site_occupancy
Mg1 0.146 0.854 0.557 1
Mg2 0.146 0.854 0.943 1
Mg3 0.854 0.146 0.057 1
Mg4 0.854 0.146 0.443 1
Tl1 0.474 0.526 0.750 1
Tl2 0.526 0.474 0.250 1
Cl1 0.050 0.950 0.116 1
Cl2 0.050 0.950 0.384 1
Cl3 0.209 0.791 0.750 1
Cl4 0.332 0.668 0.035 1
Cl5 0.332 0.668 0.465 1
Cl6 0.668 0.332 0.535 1
Cl7 0.668 0.332 0.965 1
Cl8 0.791 0.209 0.250 1
Cl9 0.950 0.050 0.616 1
Cl10 0.950 0.050 0.884 1

=====

Record 3
# PBE Na4Pm3YS8, optimized geometry
# - DFT total energy: -0.4047 Ry/atom
# - Mass density: 3.77 g cm⁻³
# - Symmetry: R-3m, No. 166
data_Na4Pm3YS8
_space_group_name_H-M_alt 'P 1'
_space_group_IT_number 1
_cell_length_a 8.176
_cell_length_b 8.176
_cell_length_c 8.176
_cell_angle_alpha 59.76
_cell_angle_beta 59.76
_cell_angle_gamma 59.76
loop_
_space_group_symop_operation_xyz
'x,y,z'
loop_
_atom_site_label
_atom_site_fract_x
_atom_site_fract_y
_atom_site_fract_z
_atom_site_occupancy
Na1 0.000 0.000 0.000 1
Na2 0.000 0.500 0.500 1
Na3 0.500 0.000 0.500 1
Na4 0.500 0.500 0.000 1
Pm1 0.000 0.000 0.500 1
Pm2 0.000 0.500 0.000 1
Pm3 0.500 0.000 0.000 1
Y1 0.500 0.500 0.500 1
S1 0.244 0.244 0.244 1
S2 0.249 0.741 0.741 1
S3 0.259 0.259 0.751 1
S4 0.259 0.751 0.259 1
S5 0.741 0.249 0.741 1
S6 0.741 0.741 0.249 1
S7 0.751 0.259 0.259 1
S8 0.756 0.756 0.756 1